## TcRuSe2N (PBE)

Data for a relaxed structure of TcRuSe2N.

```
data_TcRuSe2N
_chemical_formula_sum 'Tc1 Ru1 Se2 N1'
_cell_length_a 5.054
_cell_length_b 5.054
_cell_length_c 3.632
_cell_angle_alpha 90.00
_cell_angle_beta 90.00
_cell_angle_gamma 90.00
_space_group_name_H-M_alt 'P 4/m m m'
_space_group_IT_number 123
_space_group_name_Hall '-P 4 2'
loop_
_atom_site_label
_atom_site_fract_x
_atom_site_fract_y
_atom_site_fract_z
Tc1 0.000 0.000 0.000
Ru1 0.500 0.500 0.500
Se1 0.000 0.500 0.500
N1 0.500 0.500 0.000
```

Summary:
E above lowest polymorph (eV/f.u.): 0.00
Uncorrected formation energy (kJ per mole of atoms): 77.24